Material: Ti5HPb
Method: DFT, PBE-GGA
State: optimized geometry

abc: 6.3599 6.3599 6.9434
angles: 107.25 107.25 70.32
Sites, in units of the cell vectors:
Ti 0.0610 0.9390 0.7500
Ti 0.0913 0.3161 0.6419
Ti 0.1238 0.6495 0.0395
Ti 0.3161 0.0913 0.1419
Ti 0.3505 0.8762 0.4605
Ti 0.6495 0.1238 0.5395
Ti 0.6839 0.9087 0.8581
Ti 0.8762 0.3505 0.9605
Ti 0.9087 0.6839 0.3581
Ti 0.9390 0.0610 0.2500
H 0.0000 0.0000 0.0000
H 0.0000 0.0000 0.5000
Pb 0.4324 0.5676 0.7500
Pb 0.5676 0.4324 0.2500

Output
VASP energy: -6.445 eV/atom
Space-group type: No. 15
Size of the total moment: 0.00 μB per cell